Entry 1:
DFT (PBE-GGA) results for a relaxed structure of Ac2SbSe4.

The structure belongs to space group C2/m (No. 12); the cell edges are 14.4294, 4.7640 and 7.9141 Å and the angles 90.00°, 120.04° and 90.00°. The distinct sites, in fractional coordinates, are Ac at (0.2147, 0.0000, 0.2091), Sb at (0.0000, 0.5000, 0.5000), Se at (0.1118, 0.5000, 0.9210) and Se at (0.1374, 0.0000, 0.5132).

The energy relative to the elements, uncorrected comes out at -1.317 eV/atom. As for the crystal system: monoclinic. As for the calculated total energy: -70.990 eV per cell.

Entry 2:
DFT (PBE-GGA) results for a relaxed structure of AcSbSe4.

The structure belongs to space group C2/c (No. 15); the cell edges are 13.6190, 7.5623 and 7.6720 Å and the angles 90.00°, 113.84° and 90.00°. The distinct sites, in fractional coordinates, are Ac at (0.0000, 0.2013, 0.2500), Sb at (0.2500, 0.2500, 0.0000), Se at (0.0988, 0.4983, 0.0841) and Se at (0.1586, 0.0334, 0.6499).

The energy relative to the elements, uncorrected comes out at -0.853 eV/atom. As for the crystal system: monoclinic. As for the calculated total energy: -109.141 eV per cell.

Entry 3:
DFT (PBE-GGA) results for a relaxed structure of Ac8SbSe6.

The structure belongs to space group P-3 (No. 147); the cell edges are 11.4571, 11.4571 and 4.5330 Å and the angles 90.00°, 90.00° and 120.00°. The distinct sites, in fractional coordinates, are Ac at (0.0375, 0.3243, 0.2439), Ac at (0.3333, 0.6667, 0.7509), Sb at (0.0000, 0.0000, 0.0000) and Se at (0.1304, 0.6437, 0.2513).

The energy relative to the elements, uncorrected comes out at -1.423 eV/atom. As for the crystal system: trigonal. As for the calculated total energy: -79.242 eV per cell.

Entry 4:
DFT (PBE-GGA) results for a relaxed structure of Ac4SiSb2Se.

The structure belongs to space group P2/m (No. 10); the cell edges are 8.0758, 4.6719 and 8.1112 Å and the angles 90.00°, 109.37° and 90.00°. The distinct sites, in fractional coordinates, are Ac at (0.2404, 0.0000, 0.2361), Ac at (0.2452, 0.5000, 0.7601), Si at (0.0000, 0.5000, 0.0000), Sb at (0.0000, 0.0000, 0.5000), Sb at (0.5000, 0.5000, 0.5000) and Se at (0.5000, 0.0000, 0.0000).

The energy relative to the elements, uncorrected comes out at -1.221 eV/atom. As for the crystal system: monoclinic. As for the calculated total energy: -43.358 eV per cell.

Entry 5:
DFT (PBE-GGA) results for a relaxed structure of Ac4SiSbSe2.

The structure belongs to space group P2/m (No. 10); the cell edges are 7.9045, 4.6118 and 8.0336 Å and the angles 90.00°, 109.61° and 90.00°. The distinct sites, in fractional coordinates, are Ac at (0.2422, 0.0000, 0.2377), Ac at (0.2482, 0.5000, 0.7610), Si at (0.0000, 0.5000, 0.0000), Sb at (0.0000, 0.0000, 0.5000), Se at (0.5000, 0.0000, 0.0000) and Se at (0.5000, 0.5000, 0.5000).

The energy relative to the elements, uncorrected comes out at -1.419 eV/atom. As for the crystal system: monoclinic. As for the calculated total energy: -44.297 eV per cell.

Entry 6:
DFT (PBE-GGA) results for a relaxed structure of Ac4SnSbSe2.

The structure belongs to space group P2/m (No. 10); the cell edges are 7.9788, 4.6962 and 8.1301 Å and the angles 90.00°, 109.86° and 90.00°. The distinct sites, in fractional coordinates, are Ac at (0.2454, 0.0000, 0.2459), Ac at (0.2462, 0.5000, 0.7509), Sn at (0.5000, 0.0000, 0.0000), Sb at (0.5000, 0.5000, 0.5000), Se at (0.0000, 0.0000, 0.5000) and Se at (0.0000, 0.5000, 0.0000).

The energy relative to the elements, uncorrected comes out at -1.429 eV/atom. As for the crystal system: monoclinic. As for the calculated total energy: -42.963 eV per cell.

Entry 7:
DFT (PBE-GGA) results for a relaxed structure of Ac6Sn2SbSe3.

The structure belongs to space group C2/m (No. 12); the cell edges are 20.2344, 4.7087 and 9.2637 Å and the angles 90.00°, 101.88° and 90.00°. The distinct sites, in fractional coordinates, are Ac at (0.0000, 0.0000, 0.2457), Ac at (0.1662, 0.5000, 0.0844), Ac at (0.1685, 0.5000, 0.5828), Sn at (0.1661, 0.0000, 0.8316), Sb at (0.0000, 0.5000, 0.5000), Se at (0.0000, 0.5000, 0.0000) and Se at (0.1655, 0.0000, 0.3335).

The energy relative to the elements, uncorrected comes out at -1.379 eV/atom. As for the crystal system: monoclinic. As for the calculated total energy: -127.563 eV per cell.

Entry 8:
DFT (PBE-GGA) results for a relaxed structure of Ac6SnSb2Se3.

The structure belongs to space group C2/m (No. 12); the cell edges are 20.2000, 4.6885 and 9.2418 Å and the angles 90.00°, 102.11° and 90.00°. The distinct sites, in fractional coordinates, are Ac at (0.0016, 0.0000, 0.2494), Ac at (0.1647, 0.5000, 0.0871), Ac at (0.1667, 0.5000, 0.5780), Sn at (0.0000, 0.5000, 0.5000), Sb at (0.1675, 0.0000, 0.8345), Se at (0.0000, 0.5000, 0.0000) and Se at (0.1676, 0.0000, 0.3321).

The energy relative to the elements, uncorrected comes out at -1.472 eV/atom. As for the crystal system: monoclinic. As for the calculated total energy: -130.023 eV per cell.